No. 1
Ac3Tb2PrTe6: optimized geometry, GGA-PBE.

## Properties
M_tot in μB/atom: 0.00
Formation energy (no corrections) in eV per atom: -1.417
Energy in eV per atom: -5.185
Symmetry: C2/m, No. 12
Fermi-level density of states in states/eV per atom: 0.538

a = 4.5116 Å, b = 9.2984 Å, c = 10.3091 Å
α = 104.92°, β = 102.64°, γ = 90.00°
Fractional positions:
1 Ac 0.5000 0.5000 0.0000
2 Ac 0.8370 0.1686 0.6740
3 Ac 0.1630 0.8314 0.3260
4 Tb 0.8342 0.6688 0.6684
5 Tb 0.1658 0.3312 0.3316
6 Pr 0.5000 0.0000 0.0000
7 Te 0.3340 0.9006 0.6679
8 Te 0.6727 0.5688 0.3454
9 Te 0.6660 0.0994 0.3321
10 Te 0.0074 0.2455 0.0148
11 Te 0.9926 0.7545 0.9852
12 Te 0.3273 0.4312 0.6546

***

No. 2
Ac3Tb3PrTe8: optimized geometry, GGA-PBE.

## Properties
M_tot in μB/atom: 0.00
Formation energy (no corrections) in eV per atom: -1.451
Energy in eV per atom: -5.193
Symmetry: R-3m, No. 166
Fermi-level density of states in states/eV per atom: 0.501

a = 8.9915 Å, b = 8.9916 Å, c = 9.1469 Å
α = 119.44°, β = 90.00°, γ = 120.00°
Fractional positions:
1 Ac 0.0000 0.0000 0.0000
2 Ac 0.0000 0.5000 0.0000
3 Ac 0.5000 0.5000 0.0000
4 Tb 0.5000 0.0000 0.5000
5 Tb 0.5000 0.5000 0.5000
6 Tb 0.0000 0.5000 0.5000
7 Pr 0.0000 0.0000 0.5000
8 Te 0.2581 0.5162 0.2743
9 Te 0.7419 0.4838 0.7257
10 Te 0.7453 0.4904 0.2615
11 Te 0.2547 0.5096 0.7385
12 Te 0.7452 0.0163 0.2615
13 Te 0.2548 0.9837 0.7385
14 Te 0.2711 0.0162 0.2615
15 Te 0.7289 0.9838 0.7385

***

No. 3
AcTbPr2Te5: optimized geometry, GGA-PBE.

## Properties
M_tot in μB/atom: 0.04
Formation energy (no corrections) in eV per atom: -0.934
Energy in eV per atom: -4.713
Symmetry: P4/mmm, No. 123
Fermi-level density of states in states/eV per atom: 0.450

a = 5.5694 Å, b = 5.5694 Å, c = 12.2490 Å
α = 90.00°, β = 90.00°, γ = 90.00°
Fractional positions:
1 Ac 0.0000 0.0000 0.0000
2 Tb 0.0000 0.0000 0.5000
3 Pr 0.5000 0.5000 0.3505
4 Pr 0.5000 0.5000 0.6495
5 Te 0.0000 0.5000 0.5000
6 Te 0.5000 0.0000 0.5000
7 Te 0.0000 0.0000 0.7442
8 Te 0.0000 0.0000 0.2558
9 Te 0.5000 0.5000 0.0000

***

No. 4
Ac2TbPrTe6: optimized geometry, GGA-PBE.

## Properties
M_tot in μB/atom: 0.00
Formation energy (no corrections) in eV per atom: -1.450
Energy in eV per atom: -5.098
Symmetry: R3, No. 146
Fermi-level density of states in states/eV per atom: 0.000

a = 8.1770 Å, b = 8.1773 Å, c = 8.5866 Å
α = 61.58°, β = 61.57°, γ = 60.01°
Fractional positions:
1 Ac 0.5211 0.5211 0.4366
2 Ac 0.0198 0.0198 0.9405
3 Tb 0.3212 0.3210 0.0366
4 Pr 0.8195 0.8196 0.5412
5 Te 0.5923 0.2008 0.2572
6 Te 0.2007 0.9497 0.2573
7 Te 0.9498 0.5922 0.2573
8 Te 0.4399 0.6945 0.7628
9 Te 0.6946 0.1027 0.7628
10 Te 0.1027 0.4400 0.7628

***

No. 5
Ac2Tb3PrTe6: optimized geometry, GGA-PBE.

## Properties
M_tot in μB/atom: 0.00
Formation energy (no corrections) in eV per atom: -1.387
Energy in eV per atom: -5.199
Symmetry: C2/m, No. 12
Fermi-level density of states in states/eV per atom: 0.485

a = 4.4463 Å, b = 9.1999 Å, c = 10.2014 Å
α = 105.57°, β = 102.59°, γ = 90.00°
Fractional positions:
1 Ac 0.8356 0.6707 0.6712
2 Ac 0.1644 0.3293 0.3288
3 Tb 0.5000 0.5000 0.0000
4 Tb 0.8318 0.1653 0.6636
5 Tb 0.1682 0.8347 0.3364
6 Pr 0.5000 0.0000 0.0000
7 Te 0.3311 0.9335 0.6622
8 Te 0.6619 0.5966 0.3237
9 Te 0.6689 0.0665 0.3378
10 Te 0.9929 0.2561 0.9858
11 Te 0.0071 0.7439 0.0142
12 Te 0.3381 0.4034 0.6763

***

No. 6
AcTb2Pr3Te6: optimized geometry, GGA-PBE.

## Properties
M_tot in μB/atom: 0.00
Formation energy (no corrections) in eV per atom: -1.399
Energy in eV per atom: -5.279
Symmetry: C2/m, No. 12
Fermi-level density of states in states/eV per atom: 0.543

a = 7.8143 Å, b = 7.8143 Å, c = 7.8449 Å
α = 99.56°, β = 99.56°, γ = 120.21°
Fractional positions:
1 Ac 0.0000 0.0000 0.0000
2 Tb 0.3321 0.6679 0.0000
3 Tb 0.6679 0.3321 0.0000
4 Pr 0.1536 0.8464 0.5000
5 Pr 0.8464 0.1536 0.5000
6 Pr 0.5000 0.5000 0.5000
7 Te 0.9172 0.5668 0.7506
8 Te 0.7277 0.7277 0.2361
9 Te 0.0828 0.4332 0.2494
10 Te 0.5668 0.9172 0.7506
11 Te 0.2723 0.2723 0.7639
12 Te 0.4332 0.0828 0.2494